No. 1
DFT (PBEsol) results for a relaxed structure of KY2Cu.

As for the total magnetization: 0.00 μB/f.u. The energy relative to the elements comes out at 0.35 eV/atom. The volume is 29.7 Å³/atom. As for the energy above the most stable polymorph in this dataset: 0.84 eV/f.u.

It has space group Immm (No. 71), with a = 3.3682 Å, b = 5.8996 Å, c = 11.9446 Å, α = 90.00°, β = 90.00° and γ = 90.00°. Symmetry generates all atoms from K at (0.0000, 0.0000, 0.0000), Y at (0.0000, 0.5000, 0.1928) and Cu at (0.0000, 0.0000, 0.5000).



No. 2
DFT (PBEsol) results for a relaxed structure of YRe3As.

As for the total magnetization: 1.17 μB/f.u. The energy relative to the elements comes out at 3.23 eV/atom. The volume is 21.1 Å³/atom.

It has space group Pm-3m (No. 221), with a = 4.7256 Å, b = 4.7256 Å, c = 4.7256 Å, α = 90.00°, β = 90.00° and γ = 90.00°. Symmetry generates all atoms from Y at (0.0000, 0.0000, 0.0000), Re at (0.0000, 0.0000, 0.5000) and As at (0.5000, 0.5000, 0.5000).



No. 3
DFT (PBEsol) results for a relaxed structure of ZrGe2SbSe.

For the raw formation energy, the calculation gives 348 meV per atom. As for the total magnetization: 0.00 μB/f.u. The volume is 27.2 Å³/atom. As for the energy above the most stable polymorph in this dataset: 0.00 eV/f.u.

It has space group P4/mmm (No. 123), with a = 5.2257 Å, b = 5.2257 Å, c = 4.9766 Å, α = 90.00°, β = 90.00° and γ = 90.00°. Symmetry generates all atoms from Zr at (0.0000, 0.0000, 0.0000), Ge at (0.0000, 0.5000, 0.0000), Sb at (0.5000, 0.5000, 0.5000) and Se at (0.0000, 0.0000, 0.5000).



No. 4
DFT (PBEsol) results for a relaxed structure of BaIrBr2.

For the raw formation energy, the calculation gives -427 meV per atom. As for the total magnetization: 0.01 μB/f.u. The volume is 26.6 Å³/atom. As for the energy above the most stable polymorph in this dataset: 0.23 eV/f.u.

It has space group P2/m (No. 10), with a = 4.5032 Å, b = 4.0896 Å, c = 6.1162 Å, α = 90.00°, β = 109.30° and γ = 90.00°. Symmetry generates all atoms from Ba at (0.0000, 0.0000, 0.0000), Ir at (0.5000, 0.0000, 0.5000) and Br at (0.3812, 0.5000, 0.7087).



What did we get for DOS at the Fermi energy? Answer: 9.3 6.8 4.9 3.0 states/eV per cell, in the order shown.